Density functional theory data (PBE-GGA) for an optimized crystal structure of SnHg2P2.

Unit cell a=6.7019 b=6.7019 c=6.7019 alpha=141.41 beta=141.41 gamma=55.71
Last column: nearest neighbours and their distance in Å.
Atoms (fractional coordinates):
Sn: 0.0000 0.0000 0.0000  8 Hg 3.42, 8 P 3.70
Hg: 0.3840 0.3840 0.0000  4 P 2.72, 1 Hg 2.75
Hg: 0.6160 0.6160 0.0000  4 P 2.72, 1 Hg 2.75
P: 0.2500 0.7500 0.5000  4 Hg 2.72
P: 0.7500 0.2500 0.5000  4 Hg 2.72

Output
distance to the lowest polymorph of the same formula: 272.2 meV/atom
calculated formation energy: 2.67 eV per formula unit
D(E_F): 0.2982 states/eV per atom

***

Density functional theory data (PBE-GGA) for an optimized crystal structure of SnHg3P.

Unit cell a=5.1622 b=5.1622 c=5.1622 alpha=90.00 beta=90.00 gamma=90.00
Last column: nearest neighbours and their distance in Å.
Atoms (fractional coordinates):
Sn: 0.0000 0.0000 0.0000  12 Hg 3.65
Hg: 0.0000 0.5000 0.5000  2 P 2.58
Hg: 0.5000 0.0000 0.5000  2 P 2.58
Hg: 0.5000 0.5000 0.0000  2 P 2.58
P: 0.5000 0.5000 0.5000  6 Hg 2.58

Output
distance to the lowest polymorph of the same formula: 0.0 meV/atom
calculated formation energy: 2.04 eV per formula unit
D(E_F): 1.4161 states/eV per atom

***

Density functional theory data (PBE-GGA) for an optimized crystal structure of SnHg2P2.

Unit cell a=8.3047 b=8.3047 c=8.3047 alpha=151.35 beta=151.35 gamma=40.96
Last column: nearest neighbours and their distance in Å.
Atoms (fractional coordinates):
Sn: 0.0000 0.0000 0.0000  8 P 3.09
Hg: 0.2500 0.7500 0.5000  4 Hg 2.91
Hg: 0.7500 0.2500 0.5000  4 Hg 2.91
P: 0.4328 0.4328 0.0000  1 P 2.09
P: 0.5672 0.5672 0.0000  1 P 2.09

Output
distance to the lowest polymorph of the same formula: 0.0 meV/atom
calculated formation energy: 1.31 eV per formula unit
D(E_F): 0.3122 states/eV per atom

***

Density functional theory data (PBE-GGA) for an optimized crystal structure of SrSnHg2P.

Unit cell a=6.0822 b=6.0822 c=6.4071 alpha=90.00 beta=90.00 gamma=90.00
Last column: nearest neighbours and their distance in Å.
Atoms (fractional coordinates):
Sr: 0.0000 0.0000 0.0000  4 Hg 3.04, 2 Sn 3.20
Sn: 0.0000 0.0000 0.5000  2 Sr 3.20
Hg: 0.0000 0.5000 0.0000  2 Sr 3.04
Hg: 0.5000 0.0000 0.0000  2 Sr 3.04
P: 0.5000 0.5000 0.5000  4 Sn 4.30, 8 Hg 4.42

Output
calculated formation energy: 4.44 eV per formula unit
D(E_F): 0.4906 states/eV per atom

***

Density functional theory data (PBE-GGA) for an optimized crystal structure of TaSnHg2P.

Unit cell a=5.3193 b=5.3193 c=5.5052 alpha=90.00 beta=90.00 gamma=90.00
Last column: nearest neighbours and their distance in Å.
Atoms (fractional coordinates):
Ta: 0.0000 0.0000 0.0000  2 Sn 2.75
Sn: 0.0000 0.0000 0.5000  4 Hg 2.66, 2 Ta 2.75
Hg: 0.0000 0.5000 0.5000  2 Sn 2.66
Hg: 0.5000 0.0000 0.5000  2 Sn 2.66
P: 0.5000 0.5000 0.0000  4 Ta 3.76, 8 Hg 3.83

Output
distance to the lowest polymorph of the same formula: 988.9 meV/atom
calculated formation energy: 7.47 eV per formula unit
D(E_F): 0.9601 states/eV per atom

***

Density functional theory data (PBE-GGA) for an optimized crystal structure of TaSnHg2P.

Unit cell a=5.4345 b=5.4345 c=4.7374 alpha=90.00 beta=90.00 gamma=90.00
Last column: nearest neighbours and their distance in Å.
Atoms (fractional coordinates):
Ta: 0.0000 0.0000 0.0000  2 P 2.37
Sn: 0.5000 0.5000 0.5000  8 Hg 3.60, 4 P 3.84
Hg: 0.0000 0.5000 0.0000  2 Ta 2.72
Hg: 0.5000 0.0000 0.0000  2 Ta 2.72
P: 0.0000 0.0000 0.5000  2 Ta 2.37

Output
distance to the lowest polymorph of the same formula: 0.0 meV/atom
calculated formation energy: 2.53 eV per formula unit
D(E_F): 0.6563 states/eV per atom

***

Density functional theory data (PBE-GGA) for an optimized crystal structure of YSnHgP2.

Unit cell a=5.2523 b=5.2523 c=5.6741 alpha=90.00 beta=90.00 gamma=90.00
Last column: nearest neighbours and their distance in Å.
Atoms (fractional coordinates):
Y: 0.0000 0.0000 0.0000  4 P 2.63, 2 Hg 2.84
Sn: 0.5000 0.5000 0.5000  4 Hg 3.71, 8 P 3.87
Hg: 0.0000 0.0000 0.5000  2 Y 2.84
P: 0.0000 0.5000 0.0000  2 Y 2.63
P: 0.5000 0.0000 0.0000  2 Y 2.63

Output
calculated formation energy: 1.87 eV per formula unit
D(E_F): 0.6883 states/eV per atom

***

Density functional theory data (PBE-GGA) for an optimized crystal structure of SrHg2P.

Unit cell a=4.0430 b=4.0430 c=6.3454 alpha=90.00 beta=90.00 gamma=90.00
Last column: nearest neighbours and their distance in Å.
Atoms (fractional coordinates):
Sr: 0.0000 0.0000 0.0000  2 P 3.17, 8 Hg 3.35
Hg: 0.5000 0.5000 0.2759  1 Hg 2.84
Hg: 0.5000 0.5000 0.7241  1 Hg 2.84
P: 0.0000 0.0000 0.5000  2 Sr 3.17, 8 Hg 3.19

Output
calculated formation energy: -0.63 eV per formula unit
D(E_F): 0.4577 states/eV per atom

***

Density functional theory data (PBE-GGA) for an optimized crystal structure of SrHgP.

Unit cell a=4.4450 b=4.4450 c=4.6577 alpha=90.00 beta=90.00 gamma=120.00
Last column: nearest neighbours and their distance in Å.
Atoms (fractional coordinates):
Sr: 0.0000 0.0000 0.0000  3 P 3.14, 3 Hg 3.29
Hg: 0.6667 0.3333 0.4411  3 P 2.69
P: 0.3333 0.6667 0.6117  3 Hg 2.69

Output
distance to the lowest polymorph of the same formula: 123.8 meV/atom
calculated formation energy: -1.57 eV per formula unit
D(E_F): 0.5270 states/eV per atom

***

Density functional theory data (PBE-GGA) for an optimized crystal structure of SrHgP.

Unit cell a=4.4544 b=4.4544 c=9.4167 alpha=90.00 beta=90.00 gamma=120.00
Last column: nearest neighbours and their distance in Å.
Atoms (fractional coordinates):
Sr: 0.0000 0.0000 0.0000  3 P 3.11, 3 Hg 3.29
Sr: 0.0000 0.0000 0.5000  3 P 3.11, 3 Hg 3.29
Hg: 0.3333 0.6667 0.2826  3 P 2.73
Hg: 0.6667 0.3333 0.7826  3 P 2.73
P: 0.3333 0.6667 0.6851  3 Hg 2.73
P: 0.6667 0.3333 0.1851  3 Hg 2.73

Output
distance to the lowest polymorph of the same formula: 132.7 meV/atom
calculated formation energy: -1.55 eV per formula unit
D(E_F): 0.3372 states/eV per atom

***

Density functional theory data (PBE-GGA) for an optimized crystal structure of SrHg2P.

Unit cell a=5.2672 b=5.2672 c=5.2672 alpha=60.00 beta=60.00 gamma=60.00
Last column: nearest neighbours and their distance in Å.
Atoms (fractional coordinates):
Sr: 0.0000 0.0000 0.0000  4 P 3.23, 4 Hg 3.23
Hg: 0.2500 0.2500 0.2500  4 Hg 3.23, 4 Sr 3.23
Hg: 0.5000 0.5000 0.5000  4 P 3.23, 4 Hg 3.23
P: 0.7500 0.7500 0.7500  4 Sr 3.23, 4 Hg 3.23

Output
calculated formation energy: -1.14 eV per formula unit
D(E_F): 0.1893 states/eV per atom

***

Density functional theory data (PBE-GGA) for an optimized crystal structure of Sr2HgP2.

Unit cell a=7.9184 b=7.9184 c=4.2131 alpha=90.00 beta=90.00 gamma=90.00
Last column: nearest neighbours and their distance in Å.
Atoms (fractional coordinates):
Sr: 0.1475 0.3525 0.0000  6 P 2.98-3.24, 1 Sr 3.30
Sr: 0.3525 0.8525 0.0000  6 P 2.98-3.24, 1 Sr 3.30
Sr: 0.6475 0.1475 0.0000  6 P 2.98-3.24, 1 Sr 3.30
Sr: 0.8525 0.6475 0.0000  6 P 2.98-3.24, 1 Sr 3.30
Hg: 0.0000 0.0000 0.5000  4 P 2.96
Hg: 0.5000 0.5000 0.5000  4 P 2.96
P: 0.1637 0.6637 0.5000  2 Hg 2.96, 6 Sr 2.98-3.24
P: 0.3363 0.1637 0.5000  2 Hg 2.96, 6 Sr 2.98-3.24
P: 0.6637 0.8363 0.5000  2 Hg 2.96, 6 Sr 2.98-3.24
P: 0.8363 0.3363 0.5000  2 Hg 2.96, 6 Sr 2.98-3.24

Output
calculated formation energy: -3.05 eV per formula unit
D(E_F): 0.4939 states/eV per atom

***

Density functional theory data (PBE-GGA) for an optimized crystal structure of SrHg2P.

Unit cell a=6.2562 b=6.2562 c=6.2562 alpha=44.01 beta=44.01 gamma=44.01
Last column: nearest neighbours and their distance in Å.
Atoms (fractional coordinates):
Sr: 0.0000 0.0000 0.0000  6 Hg 3.24
Hg: 0.2280 0.2280 0.2280  3 P 2.90, 3 Sr 3.24
Hg: 0.7720 0.7720 0.7720  3 P 2.90, 3 Sr 3.24
P: 0.5000 0.5000 0.5000  6 Hg 2.90

Output
calculated formation energy: -0.90 eV per formula unit
D(E_F): 0.7189 states/eV per atom

***

Density functional theory data (PBE-GGA) for an optimized crystal structure of SrHg2P2.

Unit cell a=7.8508 b=7.8508 c=3.7796 alpha=90.00 beta=90.00 gamma=90.00
Last column: nearest neighbours and their distance in Å.
Atoms (fractional coordinates):
Sr: 0.0000 0.0000 0.0000  4 P 2.99
Sr: 0.5000 0.5000 0.0000  4 P 2.99
Hg: 0.1454 0.3546 0.5000  6 P 2.95-2.99, 1 Hg 3.23
Hg: 0.3546 0.8546 0.5000  6 P 2.95-2.99, 1 Hg 3.23
Hg: 0.6454 0.1454 0.5000  6 P 2.95-2.99, 1 Hg 3.23
Hg: 0.8546 0.6454 0.5000  6 P 2.95-2.99, 1 Hg 3.23
P: 0.1503 0.6503 0.0000  6 Hg 2.95-2.99, 2 Sr 2.99
P: 0.3497 0.1503 0.0000  6 Hg 2.95-2.99, 2 Sr 2.99
P: 0.6503 0.8497 0.0000  6 Hg 2.95-2.99, 2 Sr 2.99
P: 0.8497 0.3497 0.0000  6 Hg 2.95-2.99, 2 Sr 2.99

Output
calculated formation energy: 0.09 eV per formula unit
D(E_F): 0.5152 states/eV per atom

***

Density functional theory data (PBE-GGA) for an optimized crystal structure of Sr2Hg2P.

Unit cell a=8.0221 b=8.0221 c=4.5912 alpha=90.00 beta=90.00 gamma=90.00
Last column: nearest neighbours and their distance in Å.
Atoms (fractional coordinates):
Sr: 0.1815 0.3185 0.0000  6 Hg 3.16-3.40
Sr: 0.3185 0.8185 0.0000  6 Hg 3.16-3.40
Sr: 0.6815 0.1815 0.0000  6 Hg 3.16-3.40
Sr: 0.8185 0.6815 0.0000  6 Hg 3.16-3.40
Hg: 0.1270 0.6270 0.5000  1 Hg 2.88, 2 Sr 3.16, 2 P 3.16
Hg: 0.3730 0.1270 0.5000  1 Hg 2.88, 2 Sr 3.16, 2 P 3.16
Hg: 0.6270 0.8730 0.5000  1 Hg 2.88, 2 Sr 3.16, 2 P 3.16
Hg: 0.8730 0.3730 0.5000  1 Hg 2.88, 2 Sr 3.16, 2 P 3.16
P: 0.0000 0.0000 0.5000  4 Hg 3.16
P: 0.5000 0.5000 0.5000  4 Hg 3.16

Output
distance to the lowest polymorph of the same formula: 0.0 meV/atom
calculated formation energy: -1.90 eV per formula unit
D(E_F): 0.3097 states/eV per atom

***

Density functional theory data (PBE-GGA) for an optimized crystal structure of SrHgP.

Unit cell a=4.9996 b=4.9996 c=4.9996 alpha=60.00 beta=60.00 gamma=60.00
Last column: nearest neighbours and their distance in Å.
Atoms (fractional coordinates):
Sr: 0.0000 0.0000 0.0000  4 P 3.06
Hg: 0.5000 0.5000 0.5000  4 P 3.06
P: 0.7500 0.7500 0.7500  4 Hg 3.06, 4 Sr 3.06

Output
distance to the lowest polymorph of the same formula: 172.9 meV/atom
calculated formation energy: -1.43 eV per formula unit
D(E_F): 0.4390 states/eV per atom

***

Density functional theory data (PBE-GGA) for an optimized crystal structure of SrHgP.

Unit cell a=8.7880 b=8.7880 c=8.7880 alpha=32.03 beta=32.03 gamma=32.03
Last column: nearest neighbours and their distance in Å.
Atoms (fractional coordinates):
Sr: 0.0000 0.0000 0.0000  3 P 3.20, 3 Hg 3.32
Sr: 0.4501 0.4501 0.4501  6 P 2.96-3.12
Hg: 0.2140 0.2140 0.2140  3 Hg 3.05, 3 P 3.16
Hg: 0.5954 0.5954 0.5954  3 Hg 3.05, 3 Sr 3.32, 1 P 3.32
P: 0.7283 0.7283 0.7283  1 P 2.35
P: 0.8222 0.8222 0.8222  1 P 2.35

Output
distance to the lowest polymorph of the same formula: 66.7 meV/atom
calculated formation energy: -1.74 eV per formula unit
D(E_F): 0.0086 states/eV per atom

***

Density functional theory data (PBE-GGA) for an optimized crystal structure of Sr2HgP2.

Unit cell a=8.6242 b=8.6242 c=8.6242 alpha=150.27 beta=150.27 gamma=42.55
Last column: nearest neighbours and their distance in Å.
Atoms (fractional coordinates):
Sr: 0.1622 0.1622 0.0000  5 P 3.02-3.14
Sr: 0.8378 0.8378 0.0000  5 P 3.02-3.14
Hg: 0.5000 0.5000 0.0000  2 P 2.41
P: 0.3502 0.3502 0.0000  1 Hg 2.41
P: 0.6498 0.6498 0.0000  1 Hg 2.41

Output
calculated formation energy: -4.07 eV per formula unit

***

Density functional theory data (PBE-GGA) for an optimized crystal structure of SrHg2P.

Unit cell a=7.0283 b=7.0283 c=7.0283 alpha=36.40 beta=36.40 gamma=36.40
Last column: nearest neighbours and their distance in Å.
Atoms (fractional coordinates):
Sr: 0.0000 0.0000 0.0000  3 P 3.03, 3 Hg 3.33
Hg: 0.2233 0.2233 0.2233  3 Hg 3.06, 3 Sr 3.33
Hg: 0.4690 0.4690 0.4690  3 P 2.73
P: 0.7509 0.7509 0.7509  3 Hg 2.73, 3 Sr 3.03

Output
calculated formation energy: -1.46 eV per formula unit
D(E_F): 0.3870 states/eV per atom

***

Density functional theory data (PBE-GGA) for an optimized crystal structure of SrHg2P.

Unit cell a=4.1260 b=6.2534 c=6.2534 alpha=41.38 beta=90.00 gamma=90.00
Last column: nearest neighbours and their distance in Å.
Atoms (fractional coordinates):
Sr: 0.0000 0.0000 0.0000  4 P 3.07, 3 Hg 3.31-3.37
Hg: 0.0000 0.7171 0.7171  2 P 2.89, 4 Hg 3.22
Hg: 0.5000 0.3107 0.3107  1 P 2.72
P: 0.5000 0.5435 0.5435  3 Hg 2.72-2.89

Output
calculated formation energy: -1.57 eV per formula unit
D(E_F): 0.6083 states/eV per atom